CaLaGaSi | PBE-GGA | optimized geometry

POSCAR file:
```
CaLaGaSi
1.0
5.201 0.000 0.000
2.601 4.505 0.000
2.601 1.502 4.247
Ca Si Ga La
1 1 1 1
Direct
0.000 0.000 0.000 Ca
0.250 0.250 0.250 Si
0.750 0.750 0.750 Ga
0.500 0.500 0.500 La
```

Properties
Calculated total energy, eV for the cell shown: -17.179
Raw formation energy, eV/atom: -0.450
DOS at the Fermi energy, states/eV/f.u.: 1.4
Volume, Å³ per cell: 99.5
Polymorph energy (0 for the lowest one), eV/atom: 0.169

---

Sm4TlInAg2 | PBE-GGA | optimized geometry

POSCAR file:
```
Sm4TlInAg2
1.0
-1.761 -3.868 -3.271
3.217 -4.092 -1.290
-2.471 -7.159 5.400
Sm Tl In Ag
4 1 1 2
Direct
0.375 0.375 0.875 Sm
0.875 0.875 0.375 Sm
0.125 0.125 0.625 Sm
0.625 0.625 0.125 Sm
0.000 0.000 0.000 Tl
0.500 0.500 0.500 In
0.752 0.752 0.744 Ag
0.248 0.248 0.256 Ag
```

Properties
Calculated total energy, eV for the cell shown: -32.508
DOS at the Fermi energy, states/eV/f.u.: 7.6
Volume, Å³ per cell: 218.4
ΔH_f (0 K), eV per atom: -0.35

---

UTi2O6 | PBE-GGA | optimized geometry

POSCAR file:
```
UTi2O6
1.0
-2.765 -4.570 0.028
-2.444 -3.232 -3.481
3.369 -5.736 -1.879
U Ti O
1 2 6
Direct
0.000 0.000 0.000 U
0.824 0.824 0.610 Ti
0.176 0.176 0.390 Ti
0.280 0.280 0.596 O
0.720 0.720 0.404 O
0.647 0.647 0.899 O
0.025 0.025 0.301 O
0.975 0.975 0.699 O
0.353 0.353 0.101 O
```

Properties
Calculated total energy, eV for the cell shown: -84.779
Raw formation energy, eV/atom: -3.106
DOS at the Fermi energy, states/eV/f.u.: 6.7
Volume, Å³ per cell: 113.7
Polymorph energy (0 for the lowest one), eV/atom: 0.000

---

CdNiN | PBE-GGA | optimized geometry

POSCAR file:
```
CdNiN
1.0
-2.716 -0.698 0.975
0.136 -3.019 -1.776
3.401 -2.171 7.920
N Cd Ni
2 2 2
Direct
0.250 0.663 0.815 N
0.750 0.337 0.185 N
0.750 0.938 0.355 Cd
0.250 0.062 0.645 Cd
0.750 0.715 0.932 Ni
0.250 0.285 0.068 Ni
```

Properties
Calculated total energy, eV for the cell shown: -27.130
Raw formation energy, eV/atom: 0.486
DOS at the Fermi energy, states/eV/f.u.: 2.0
Volume, Å³ per cell: 90.1

---

| no. | total magnetization (μB per formula unit) |
| --- | --- |
| 1 | 0.00 |
| 2 | 0.59 |
| 3 | 2.02 |
| 4 | 0.00 |